## CoPPt (PBE-GGA)

Data for crystalline CoPPt at its relaxed geometry.

Cell and atoms, written as POSCAR:
```
CoPPt
1.0
5.1086 0.0029 -0.0324
3.5068 3.7148 0.0324
-4.2927 -1.8936 2.0213
Co Pt P
1 1 1
Cartesian
0.2983 0.1287 0.0000 Co
2.7963 1.2067 0.0000 Pt
5.5208 2.3823 0.0000 P
```

Properties
Crystal system = tetragonal
Total energy = -6.305 eV per atom
Total magnetization = 0.000 μB per formula unit
Formation enthalpy at 0 K = -120 meV/atom
DOS(E_F) = 1.003 states/eV per atom